(1)
Density functional theory data (PBE) for an optimized crystal structure of LiNbTe2.

Properties
**E_tot**: -4.823 eV per atom
**N(E_F)**: 3.31 states/eV per cell

abc: 7.840 7.840 7.840
angles: 131.67 131.67 70.75
Sites, in units of the cell vectors:
Li  0.000  0.000  0.000
Li  0.750  0.250  0.500
Nb  0.250  0.750  0.500
Nb  0.500  0.500  0.000
Te  0.135  0.625  0.010
Te  0.375  0.385  0.510
Te  0.615  0.125  0.990
Te  0.875  0.865  0.490



(2)
Density functional theory data (PBE) for an optimized crystal structure of RbGe2Pd2.

Properties
**ΔE_f**: -0.21 eV per atom
**E_tot**: -4.325 eV per atom
**Relative energy among the computed polymorphs**: 0.81 eV per formula unit
**N(E_F)**: 2.45 states/eV per cell

abc: 6.881 6.881 6.881
angles: 142.23 142.23 54.48
Sites, in units of the cell vectors:
Rb  0.000  0.000  0.000
Ge  0.250  0.750  0.500
Ge  0.750  0.250  0.500
Pd  0.348  0.348  0.000
Pd  0.652  0.652  0.000



(3)
Density functional theory data (PBE) for an optimized crystal structure of TlCd2Cu2.

Properties
**ΔE_f**: 0.21 eV per atom
**E_tot**: -2.269 eV per atom
**Relative energy among the computed polymorphs**: 0.38 eV per formula unit
**N(E_F)**: 1.86 states/eV per cell

abc: 6.780 6.780 6.780
angles: 144.54 144.54 51.01
Sites, in units of the cell vectors:
Tl  0.000  0.000  0.000
Cd  0.250  0.750  0.500
Cd  0.750  0.250  0.500
Cu  0.401  0.401  0.000
Cu  0.599  0.599  0.000



(4)
Density functional theory data (PBE) for an optimized crystal structure of RbBaNbN3.

Properties
**E_tot**: -6.824 eV per atom
**N(E_F)**: 7.62 states/eV per cell

abc: 7.289 7.289 5.930
angles: 90.07 90.07 128.04
Sites, in units of the cell vectors:
Rb  0.240  0.760  0.750
Rb  0.760  0.240  0.250
Ba  0.408  0.592  0.250
Ba  0.592  0.408  0.750
Nb  0.052  0.948  0.250
Nb  0.948  0.052  0.750
N  0.196  0.804  0.250
N  0.211  0.212  0.500
N  0.212  0.211  0.000
N  0.788  0.789  0.000
N  0.789  0.788  0.500
N  0.804  0.196  0.750



(5)
Density functional theory data (PBE) for an optimized crystal structure of La2PmTh2.

Properties
**ΔE_f**: 0.04 eV per atom
**E_tot**: -5.844 eV per atom
**Relative energy among the computed polymorphs**: 0.10 eV per formula unit
**N(E_F)**: 8.89 states/eV per cell

abc: 3.645 3.645 14.925
angles: 90.00 90.00 120.00
Sites, in units of the cell vectors:
La  0.333  0.667  0.296
La  0.667  0.333  0.704
Pm  0.000  0.000  0.500
Th  0.333  0.667  0.904
Th  0.667  0.333  0.096



(6)
Density functional theory data (PBE) for an optimized crystal structure of Pu2SCl3.

Properties
**E_tot**: -8.219 eV per atom
**N(E_F)**: 39.38 states/eV per cell

abc: 8.445 8.445 11.752
angles: 119.92 119.92 29.33
Sites, in units of the cell vectors:
Pu  0.109  0.109  0.448
Pu  0.365  0.365  0.165
Pu  0.635  0.635  0.835
Pu  0.891  0.891  0.552
S  0.088  0.088  0.668
S  0.912  0.912  0.332
Cl  0.162  0.162  0.017
Cl  0.267  0.267  0.395
Cl  0.441  0.441  0.743
Cl  0.559  0.559  0.257
Cl  0.733  0.733  0.605
Cl  0.838  0.838  0.983



(7)
Density functional theory data (PBE) for an optimized crystal structure of RbCd3Pt.

Properties
**ΔE_f**: -0.15 eV per atom
**E_tot**: -2.105 eV per atom
**Relative energy among the computed polymorphs**: 0.48 eV per formula unit
**N(E_F)**: 3.75 states/eV per cell

abc: 7.305 7.364 7.476
angles: 119.05 90.25 119.73
Sites, in units of the cell vectors:
Rb  0.000  0.000  0.000
Rb  0.354  0.714  0.091
Cd  0.349  0.147  0.654
Cd  0.480  0.833  0.639
Cd  0.571  0.425  0.442
Cd  0.727  0.355  0.054
Cd  0.816  0.303  0.638
Cd  0.879  0.880  0.442
Pt  0.016  0.588  0.457
Pt  0.189  0.358  0.538



(8)
Density functional theory data (PBE) for an optimized crystal structure of MnCo3Te.

Properties
**E_tot**: -5.672 eV per atom
**Relative energy among the computed polymorphs**: 0.00 eV per formula unit
**N(E_F)**: 8.77 states/eV per cell

abc: 4.243 4.243 4.243
angles: 90.00 90.00 90.00
Sites, in units of the cell vectors:
Mn  0.000  0.000  0.000
Co  0.000  0.000  0.500
Co  0.000  0.500  0.000
Co  0.500  0.000  0.000
Te  0.500  0.500  0.500



(9)
Density functional theory data (PBE) for an optimized crystal structure of Ac2CuNi.

Properties
**ΔE_f**: 0.55 eV per atom
**E_tot**: -3.970 eV per atom
**N(E_F)**: 4.37 states/eV per cell

abc: 9.230 9.230 9.230
angles: 26.27 26.27 26.27
Sites, in units of the cell vectors:
Ac  0.098  0.098  0.098
Ac  0.902  0.902  0.902
Cu  0.500  0.500  0.500
Ni  0.000  0.000  0.000



(10)
Density functional theory data (PBE) for an optimized crystal structure of NpTl2Ag2Te4.

Properties
**E_tot**: -4.373 eV per atom
**N(E_F)**: 10.45 states/eV per cell

abc: 8.306 8.306 8.485
angles: 109.66 109.66 31.16
Sites, in units of the cell vectors:
Np  0.000  0.000  0.000
Tl  0.133  0.133  0.581
Tl  0.867  0.867  0.419
Ag  0.317  0.317  0.011
Ag  0.683  0.683  0.989
Te  0.200  0.200  0.211
Te  0.492  0.492  0.245
Te  0.508  0.508  0.755
Te  0.800  0.800  0.789



(11)
Density functional theory data (PBE) for an optimized crystal structure of ErZrCoAu.

Properties
**ΔE_f**: -0.35 eV per atom
**E_tot**: -6.224 eV per atom
**N(E_F)**: 3.23 states/eV per cell

abc: 4.787 4.787 4.787
angles: 60.00 60.00 60.00
Sites, in units of the cell vectors:
Er  0.000  0.000  0.000
Zr  0.500  0.500  0.500
Co  0.250  0.250  0.250
Au  0.750  0.750  0.750



(12)
Density functional theory data (PBE) for an optimized crystal structure of LiAc2ErS5.

Properties
**E_tot**: -5.946 eV per atom

abc: 8.734 8.734 12.221
angles: 90.00 90.00 152.63
Sites, in units of the cell vectors:
Li  0.021  0.979  0.500
Li  0.979  0.021  0.000
Ac  0.374  0.626  0.323
Ac  0.391  0.609  0.708
Ac  0.609  0.391  0.208
Ac  0.626  0.374  0.823
Er  0.302  0.698  0.026
Er  0.698  0.302  0.526
S  0.000  0.000  0.306
S  0.000  0.000  0.806
S  0.140  0.860  0.022
S  0.193  0.807  0.377
S  0.212  0.788  0.677
S  0.451  0.549  0.083
S  0.549  0.451  0.583
S  0.788  0.212  0.177
S  0.807  0.193  0.877
S  0.860  0.140  0.522



(13)
Density functional theory data (PBE) for an optimized crystal structure of ScV3Co.

Properties
**ΔE_f**: 1.86 eV per atom
**E_tot**: -6.298 eV per atom
**Relative energy among the computed polymorphs**: 6.57 eV per formula unit
**N(E_F)**: 9.10 states/eV per cell

abc: 4.377 4.377 4.377
angles: 90.00 90.00 90.00
Sites, in units of the cell vectors:
Sc  0.000  0.000  0.000
V  0.000  0.000  0.500
V  0.000  0.500  0.000
V  0.500  0.000  0.000
Co  0.500  0.500  0.500



(14)
Density functional theory data (PBE) for an optimized crystal structure of Ti2GeW.

Properties
**ΔE_f**: -0.35 eV per atom
**E_tot**: -8.695 eV per atom
**N(E_F)**: 1.08 states/eV per cell

abc: 4.309 4.309 3.374
angles: 90.00 90.00 90.00
Sites, in units of the cell vectors:
Ti  0.000  0.500  0.000
Ti  0.500  0.000  0.000
Ge  0.000  0.000  0.500
W  0.500  0.500  0.500



(15)
Density functional theory data (PBE) for an optimized crystal structure of BaAl7.

Properties
**ΔE_f**: 0.24 eV per atom
**E_tot**: -3.279 eV per atom
**N(E_F)**: 3.56 states/eV per cell

abc: 6.192 6.192 6.192
angles: 60.00 60.00 60.00
Sites, in units of the cell vectors:
Ba  0.000  0.000  0.000
Al  0.000  0.000  0.500
Al  0.000  0.500  0.000
Al  0.000  0.500  0.500
Al  0.500  0.000  0.000
Al  0.500  0.000  0.500
Al  0.500  0.500  0.000
Al  0.500  0.500  0.500



(16)
Density functional theory data (PBE) for an optimized crystal structure of La4Tb4Ho3.

Properties
**ΔE_f**: 0.12 eV per atom
**E_tot**: -4.604 eV per atom
**Relative energy among the computed polymorphs**: 0.62 eV per formula unit
**N(E_F)**: 17.12 states/eV per cell

abc: 12.104 12.104 12.104
angles: 162.75 133.59 49.88
Sites, in units of the cell vectors:
La  0.024  0.855  0.169
La  0.315  0.145  0.169
La  0.685  0.855  0.831
La  0.976  0.145  0.831
Tb  0.266  0.766  0.500
Tb  0.314  0.000  0.314
Tb  0.686  0.000  0.686
Tb  0.734  0.234  0.500
Ho  0.000  0.500  0.500
Ho  0.396  0.396  0.000
Ho  0.604  0.604  0.000



(17)
Density functional theory data (PBE) for an optimized crystal structure of BaNiCl2.

Properties
**E_tot**: -3.811 eV per atom
**Relative energy among the computed polymorphs**: 1.30 eV per formula unit
**N(E_F)**: 0.15 states/eV per cell

abc: 4.436 4.436 6.055
angles: 90.00 90.00 90.00
Sites, in units of the cell vectors:
Ba  0.000  0.000  0.000
Ni  0.500  0.500  0.756
Cl  0.000  0.000  0.510
Cl  0.500  0.500  0.098



(18)
Density functional theory data (PBE) for an optimized crystal structure of LiLa2PdRh.

Properties
**ΔE_f**: 0.09 eV per atom
**E_tot**: -4.773 eV per atom
**Relative energy among the computed polymorphs**: 3.67 eV per formula unit
**N(E_F)**: 5.93 states/eV per cell

abc: 5.557 5.557 5.004
angles: 90.00 90.00 90.00
Sites, in units of the cell vectors:
Li  0.000  0.000  0.000
La  0.000  0.500  0.500
La  0.500  0.000  0.500
Pd  0.500  0.500  0.500
Rh  0.500  0.500  0.000



(19)
Density functional theory data (PBE) for an optimized crystal structure of AcRhSe2O8.

Properties
**E_tot**: -6.014 eV per atom
**N(E_F)**: 6.07 states/eV per cell

abc: 5.422 5.422 6.866
angles: 90.00 90.00 120.00
Sites, in units of the cell vectors:
Ac  0.000  0.000  0.000
Rh  0.000  0.000  0.500
Se  0.333  0.667  0.691
Se  0.667  0.333  0.309
O  0.013  0.291  0.684
O  0.279  0.987  0.684
O  0.291  0.279  0.316
O  0.333  0.667  0.938
O  0.667  0.333  0.062
O  0.709  0.721  0.684
O  0.721  0.013  0.316
O  0.987  0.709  0.316



(20)
Density functional theory data (PBE) for an optimized crystal structure of TaBeCu.

Properties
**ΔE_f**: -0.08 eV per atom
**E_tot**: -6.636 eV per atom
**Relative energy among the computed polymorphs**: 0.05 eV per formula unit
**N(E_F)**: 2.92 states/eV per cell

abc: 3.456 3.473 6.365
angles: 90.00 90.00 90.00
Sites, in units of the cell vectors:
Ta  0.250  0.250  0.128
Ta  0.750  0.750  0.872
Be  0.250  0.250  0.737
Be  0.750  0.750  0.263
Cu  0.250  0.750  0.500
Cu  0.750  0.250  0.500



(21)
Density functional theory data (PBE) for an optimized crystal structure of Ac2ErAl3Ga12.

Properties
**ΔE_f**: -0.14 eV per atom
**E_tot**: -3.488 eV per atom
**N(E_F)**: 8.83 states/eV per cell

abc: 10.890 10.890 10.890
angles: 36.48 36.48 36.48
Sites, in units of the cell vectors:
Ac  0.137  0.137  0.137
Ac  0.863  0.863  0.863
Er  0.500  0.500  0.500
Al  0.000  0.500  0.500
Al  0.500  0.000  0.500
Al  0.500  0.500  0.000
Ga  0.059  0.621  0.621
Ga  0.090  0.090  0.686
Ga  0.090  0.686  0.090
Ga  0.314  0.910  0.910
Ga  0.379  0.379  0.941
Ga  0.379  0.941  0.379
Ga  0.621  0.059  0.621
Ga  0.621  0.621  0.059
Ga  0.686  0.090  0.090
Ga  0.910  0.314  0.910
Ga  0.910  0.910  0.314
Ga  0.941  0.379  0.379



(22)
Density functional theory data (PBE) for an optimized crystal structure of Dy9YHo2.

Properties
**ΔE_f**: 0.02 eV per atom
**E_tot**: -4.732 eV per atom
**Relative energy among the computed polymorphs**: 0.00 eV per formula unit
**N(E_F)**: 18.34 states/eV per cell

abc: 5.011 5.011 15.032
angles: 90.00 90.00 90.00
Sites, in units of the cell vectors:
Dy  0.000  0.000  0.000
Dy  0.000  0.000  0.334
Dy  0.000  0.000  0.666
Dy  0.000  0.500  0.168
Dy  0.000  0.500  0.500
Dy  0.000  0.500  0.832
Dy  0.500  0.000  0.168
Dy  0.500  0.000  0.500
Dy  0.500  0.000  0.832
Y  0.500  0.500  0.000
Ho  0.500  0.500  0.334
Ho  0.500  0.500  0.666



(23)
Density functional theory data (PBE) for an optimized crystal structure of LaIn2Co.

Properties
**ΔE_f**: -0.15 eV per atom
**E_tot**: -4.523 eV per atom
**N(E_F)**: 4.00 states/eV per cell

abc: 6.217 6.217 6.217
angles: 42.07 42.07 42.07
Sites, in units of the cell vectors:
La  0.000  0.000  0.000
In  0.213  0.213  0.213
In  0.787  0.787  0.787
Co  0.500  0.500  0.500



(24)
Density functional theory data (PBE) for an optimized crystal structure of Sr2GeHPt.

Properties
**E_tot**: -4.038 eV per atom
**Relative energy among the computed polymorphs**: 0.00 eV per formula unit
**N(E_F)**: 1.97 states/eV per cell

abc: 5.462 5.462 3.688
angles: 90.00 90.00 90.00
Sites, in units of the cell vectors:
Sr  0.000  0.500  0.000
Sr  0.500  0.000  0.000
Ge  0.000  0.000  0.500
H  0.500  0.500  0.000
Pt  0.500  0.500  0.500